(1)
CdIn2PtPb | PBE | relaxed

Unit cell a=5.1673 b=5.1673 c=5.3031 alpha=90.00 beta=90.00 gamma=90.00
Space group P4/mmm (No. 123)
Symmetry-distinct sites (fractional):
Cd  0.0000  0.0000  0.0000
In  0.0000  0.5000  0.5000
Pt  0.0000  0.0000  0.5000
Pb  0.5000  0.5000  0.0000

Values from the calculation:
DFT formation energy: -0.062 eV/atom
Volume: 141.6 Å³ per cell
E_tot: -3.2903 eV/atom

---

(2)
HgSbP | PBE | relaxed

Unit cell a=5.0741 b=5.0741 c=3.0728 alpha=90.00 beta=90.00 gamma=120.00
Space group P3m1 (No. 156)
Symmetry-distinct sites (fractional):
Hg  0.0000  0.0000  0.0000
Sb  0.6667  0.3333  0.5003
P  0.3333  0.6667  0.4973

Values from the calculation:
Polymorph energy (0 for the lowest one): 322 meV per atom
Volume: 68.5 Å³ per cell
Formation energy without anion corrections: 0.428 eV/atom
E_tot: -2.8502 eV/atom